(1)
Entry from Alexandria via LeMat-Bulk: a relaxed MnSb2RhCl crystal (PBE-GGA).

a = 5.143 Å, b = 5.143 Å, c = 4.686 Å
α = 90.00°, β = 90.00°, γ = 90.00°
Element x y z (fractional)
Mn  0.000  0.000  0.000
Sb  0.000  0.500  0.500
Sb  0.500  0.000  0.500
Rh  0.500  0.500  0.500
Cl  0.500  0.500  0.000

Summary:
The total energy is -4.43 eV per atom. The volume comes out at 123.9 Å³ per cell. As for the space-group type: P4/mmm, No. 123. The density of states at the Fermi level is 1.174 states/eV/atom.

***

(2)
Entry from Alexandria via LeMat-Bulk: a relaxed ZrCdPO2 crystal (PBE-GGA).

a = 4.056 Å, b = 4.056 Å, c = 5.646 Å
α = 90.00°, β = 90.00°, γ = 90.00°
Element x y z (fractional)
Zr  0.000  0.000  0.000
Cd  0.500  0.500  0.500
P  0.000  0.000  0.500
O  0.000  0.500  0.000
O  0.500  0.000  0.000

Summary:
The total energy is -6.32 eV per atom. The volume comes out at 92.9 Å³ per cell. As for the space-group type: P4/mmm, No. 123. The density of states at the Fermi level is 0.687 states/eV/atom. The calculation puts the relative energy among the computed polymorphs at 0 meV per atom.

***

(3)
Entry from Alexandria via LeMat-Bulk: a relaxed Y2ZrIr2 crystal (PBE-GGA).

a = 9.729 Å, b = 9.729 Å, c = 9.729 Å
α = 158.57°, β = 158.57°, γ = 30.49°
Element x y z (fractional)
Y  0.123  0.123  0.000
Y  0.877  0.877  0.000
Zr  0.500  0.500  0.000
Ir  0.250  0.750  0.500
Ir  0.750  0.250  0.500

Summary:
The total energy is -7.81 eV per atom. The volume comes out at 122.9 Å³ per cell. Its formation energy is 0.03 eV per atom. As for the space-group type: I4/mmm, No. 139. The density of states at the Fermi level is 1.186 states/eV/atom. The calculation puts the relative energy among the computed polymorphs at 783 meV per atom.

***

(4)
Entry from Alexandria via LeMat-Bulk: a relaxed MnAsP2 crystal (PBE-GGA).

a = 4.407 Å, b = 4.407 Å, c = 4.392 Å
α = 109.85°, β = 109.85°, γ = 108.57°
Element x y z (fractional)
Mn  0.000  0.000  0.000
As  0.500  0.500  0.000
P  0.000  0.500  0.500
P  0.500  0.000  0.500

Summary:
The total energy is -6.03 eV per atom. The volume comes out at 65.8 Å³ per cell. Its formation energy is 0.13 eV per atom. As for the space-group type: C2/m, No. 12. The density of states at the Fermi level is 0.765 states/eV/atom.

***

Question: The lowest total energy belongs to which entry?
Answer: Y2ZrIr2

***

Question: The highest total energy belongs to which entry?
Answer: MnSb2RhCl